Density functional theory data (PBE) for a relaxed structure of Dy4Ge2SeS.

Unit cell a=7.075 b=4.090 c=7.107 alpha=90.00 beta=109.36 gamma=90.00
Space group P2/m (No. 10)
Inequivalent atoms, fractional coordinates:
Dy 0.243 0.000 0.242 [2 per cell]
Dy 0.248 0.500 0.755 [2 per cell]
Ge 0.000 0.500 0.000 [1 per cell]
Ge 0.500 0.000 0.000 [1 per cell]
Se 0.500 0.500 0.500 [1 per cell]
S 0.000 0.000 0.500 [1 per cell]

Calculated values
Its energy is -5.821 eV/atom.

***

Density functional theory data (PBE) for a relaxed structure of SrSiMo.

Unit cell a=3.970 b=3.970 c=9.366 alpha=90.00 beta=90.00 gamma=90.00
Space group P4/nmm (No. 129, origin choice 2)
Inequivalent atoms, fractional coordinates:
Sr 0.250 0.250 0.176 [2 per cell]
Si 0.250 0.250 0.676 [2 per cell]
Mo 0.250 0.750 0.500 [2 per cell]

Calculated values
Its energy is -6.221 eV/atom.

***

Density functional theory data (PBE) for a relaxed structure of Ac2CdTe.

Unit cell a=4.102 b=4.102 c=8.123 alpha=90.00 beta=90.00 gamma=90.00
Space group P4/mmm (No. 123)
Inequivalent atoms, fractional coordinates:
Ac 0.000 0.000 0.250 [2 per cell]
Cd 0.500 0.500 0.000 [1 per cell]
Te 0.500 0.500 0.500 [1 per cell]

Calculated values
Its energy is -3.833 eV/atom.

***

Density functional theory data (PBE) for a relaxed structure of BaAlZn.

Unit cell a=4.4768 b=4.4768 c=5.2406 alpha=90.00 beta=90.00 gamma=120.00
Space group P-6m2 (No. 187)
Inequivalent atoms, fractional coordinates:
Ba 0.0000 0.0000 0.0000 [1 per cell]
Al 0.3333 0.6667 0.5000 [1 per cell]
Zn 0.6667 0.3333 0.5000 [1 per cell]

Calculated values
As for the energy of formation from the pure elements: -0.160 eV/atom. Its energy is -2.473 eV/atom.

***

Density functional theory data (PBE) for a relaxed structure of Li2ReW.

Unit cell a=3.601 b=3.601 c=9.238 alpha=90.00 beta=90.00 gamma=90.00
Space group I4/mmm (No. 139)
Inequivalent atoms, fractional coordinates:
Li 0.000 0.500 0.250 [4 per cell]
Re 0.000 0.000 0.000 [2 per cell]
W 0.000 0.000 0.500 [2 per cell]

Calculated values
As for the energy of formation from the pure elements: 0.474 eV/atom. Its energy is -6.833 eV/atom.

***

Density functional theory data (PBE) for a relaxed structure of K3Sr.

Unit cell a=10.267 b=10.267 c=10.267 alpha=90.00 beta=90.00 gamma=90.00
Space group Fm-3m (No. 225)
Inequivalent atoms, fractional coordinates:
K 0.000 0.000 0.000 [4 per cell]
K 0.250 0.250 0.250 [8 per cell]
Sr 0.000 0.000 0.500 [4 per cell]

Calculated values
As for the energy of formation from the pure elements: 0.110 eV/atom. Its energy is -1.134 eV/atom.

***

Density functional theory data (PBE) for a relaxed structure of LiFe2Si.

Unit cell a=2.967 b=2.967 c=5.352 alpha=90.00 beta=90.00 gamma=90.00
Space group P4mm (No. 99)
Inequivalent atoms, fractional coordinates:
Li 0.000 0.000 0.000 [1 per cell]
Fe 0.000 0.000 0.500 [1 per cell]
Fe 0.500 0.500 0.736 [1 per cell]
Si 0.500 0.500 0.263 [1 per cell]

Calculated values
Its energy is -6.098 eV/atom.

***

Density functional theory data (PBE) for a relaxed structure of K2LiSb.

Unit cell a=5.935 b=5.935 c=4.123 alpha=90.00 beta=90.00 gamma=90.00
Space group P4/mmm (No. 123)
Inequivalent atoms, fractional coordinates:
K 0.000 0.500 0.000 [2 per cell]
Li 0.000 0.000 0.500 [1 per cell]
Sb 0.500 0.500 0.500 [1 per cell]

Calculated values
Its energy is -2.139 eV/atom.